No. 1
Below is a geometry-optimized Re2SbPt structure, with properties calculated at the PBE-GGA level.

a b c (Å): 4.5699 4.5699 4.5699
angles (deg): 60.00 60.00 60.00
Last column: nearest neighbours and their distance in Å.
Atoms (fractional coordinates):
Sb (0.2500, 0.2500, 0.2500)  4 Re 2.80, 4 Pt 2.80
Pt (0.5000, 0.5000, 0.5000)  4 Sb 2.80, 4 Re 2.80
Re (0.7500, 0.7500, 0.7500)  4 Pt 2.80, 4 Re 2.80
Re (0.0000, 0.0000, 0.0000)  4 Sb 2.80, 4 Re 2.80

## Properties
The calculation puts the total magnetic moment at 0.526 μB per formula unit. The energy comes out at -8.1065 eV per atom. The calculated volume comes out at 16.872 Å³/atom. The uncorrected formation energy is 658.3 meV/atom.

No. 2
Below is a geometry-optimized Re2SbPt structure, with properties calculated at the PBE-GGA level.

a b c (Å): 3.8926 3.0067 6.3878
angles (deg): 64.42 90.00 90.00
Last column: nearest neighbours and their distance in Å.
Atoms (fractional coordinates):
Pt (0.5000, 0.7356, 0.7494)  5 Re 2.69-2.95, 4 Sb 2.77-2.87, 2 Pt 3.01
Re (0.0000, 0.0017, 0.0243)  4 Re 2.62-2.78, 1 Sb 2.81, 2 Pt 2.90
Re (0.5000, 0.2768, 0.2159)  4 Re 2.62-2.78, 1 Pt 2.69
Sb (0.0000, 0.4858, 0.5104)  4 Pt 2.77-2.87, 6 Re 2.81-3.02, 2 Sb 3.01

## Properties
The calculation puts the total magnetic moment at 0.000 μB per formula unit. The energy comes out at -8.4619 eV per atom. The calculated volume comes out at 16.858 Å³/atom. The uncorrected formation energy is 302.9 meV/atom.

No. 3
Below is a geometry-optimized Re2SbPt structure, with properties calculated at the PBE-GGA level.

a b c (Å): 5.3024 5.3024 5.3024
angles (deg): 145.09 128.80 63.48
Last column: nearest neighbours and their distance in Å.
Atoms (fractional coordinates):
Pt (0.2640, 0.7640, 0.5000)  2 Sb 2.66, 6 Re 2.80-2.90
Re (0.7415, 0.2415, 0.5000)  2 Sb 2.70, 2 Re 2.78, 4 Pt 2.80
Sb (0.4998, 0.4998, 0.0000)  2 Pt 2.66, 6 Re 2.70-2.79
Re (0.9947, 0.9947, 0.0000)  2 Re 2.78, 4 Sb 2.79, 4 Pt 2.90-3.09

## Properties
The calculation puts the total magnetic moment at 0.000 μB per formula unit. The energy comes out at -8.3095 eV per atom. The calculated volume comes out at 16.436 Å³/atom. The uncorrected formation energy is 455.4 meV/atom.

No. 4
Below is a geometry-optimized Re3SbPt structure, with properties calculated at the PBE-GGA level.

a b c (Å): 4.7895 4.7895 4.7895
angles (deg): 90.00 90.00 90.00
Last column: nearest neighbours and their distance in Å.
Atoms (fractional coordinates):
Sb (0.5000, 0.5000, 0.5000)  12 Re 3.39
Pt (0.0000, 0.0000, 0.0000)  6 Re 2.39
Re (0.0000, 0.5000, 0.0000)  2 Pt 2.39
Re (0.0000, 0.0000, 0.5000)  2 Pt 2.39
Re (0.5000, 0.0000, 0.0000)  2 Pt 2.39

## Properties
The calculation puts the total magnetic moment at 0.939 μB per formula unit. The energy comes out at -7.2384 eV per atom. The calculated volume comes out at 21.973 Å³/atom. The uncorrected formation energy is 2263.1 meV/atom.

No. 5
Below is a geometry-optimized Re2SbPt structure, with properties calculated at the PBE-GGA level.

a b c (Å): 4.5778 4.5778 3.1182
angles (deg): 90.00 90.00 89.98
Last column: nearest neighbours and their distance in Å.
Atoms (fractional coordinates):
Re (0.0000, 0.0000, 0.0000)  4 Sb 2.77, 4 Pt 2.77
Sb (0.5000, 0.0000, 0.5000)  8 Re 2.77
Pt (0.0000, 0.5000, 0.5000)  8 Re 2.77
Re (0.5000, 0.5000, 0.0000)  4 Pt 2.77, 4 Sb 2.77

## Properties
The calculation puts the total magnetic moment at 0.000 μB per formula unit. The energy comes out at -8.3296 eV per atom. The calculated volume comes out at 16.337 Å³/atom. The uncorrected formation energy is 435.2 meV/atom.

No. 6
Below is a geometry-optimized ReSbPt2 structure, with properties calculated at the PBE-GGA level.

a b c (Å): 9.3568 9.3568 9.3568
angles (deg): 18.09 18.09 18.09
Last column: nearest neighbours and their distance in Å.
Atoms (fractional coordinates):
Re (0.2500, 0.2500, 0.2500)  6 Pt 2.75, 6 Re 2.94
Sb (0.7500, 0.7500, 0.7500)  6 Sb 2.94, 6 Pt 2.98
Pt (0.5052, 0.5052, 0.5052)  3 Re 2.75, 6 Pt 2.94, 3 Sb 2.98
Pt (0.9948, 0.9948, 0.9948)  3 Re 2.75, 6 Pt 2.94, 3 Sb 2.98

## Properties
The calculation puts the total magnetic moment at 0.000 μB per formula unit. The energy comes out at -6.9381 eV per atom. The calculated volume comes out at 17.236 Å³/atom. The uncorrected formation energy is 224.9 meV/atom.